i.
Here is a relaxed HfBeSN2 crystal from Alexandria via LeMat-Bulk. Energies are from GGA-PBE.

a = 3.5418 Å, b = 3.5418 Å, c = 4.5054 Å
α = 90.00°, β = 90.00°, γ = 90.00°
Positions (direct):
Hf 0.0000 0.0000 0.0000
Be 0.5000 0.5000 0.5000
S 0.5000 0.5000 0.0000
N 0.0000 0.5000 0.5000
N 0.5000 0.0000 0.5000

ii.
Here is a relaxed HfBeSN2 crystal from Alexandria via LeMat-Bulk. Energies are from GGA-PBE.

a = 3.9933 Å, b = 3.9933 Å, c = 5.3787 Å
α = 90.00°, β = 90.00°, γ = 90.00°
Positions (direct):
Hf 0.0000 0.0000 0.0000
Be 0.5000 0.5000 0.5000
S 0.0000 0.0000 0.5000
N 0.0000 0.5000 0.0000
N 0.5000 0.0000 0.0000

i is preferred energetically. Next in line: 380 meV per atom higher.

i.
Here is a relaxed HfBeTe2N crystal from Alexandria via LeMat-Bulk. Energies are from GGA-PBE.

a = 5.4255 Å, b = 5.4255 Å, c = 3.1666 Å
α = 90.00°, β = 90.00°, γ = 90.00°
Positions (direct):
Hf 0.0000 0.0000 0.0000
Be 0.5000 0.5000 0.5000
Te 0.0000 0.5000 0.5000
Te 0.5000 0.0000 0.5000
N 0.5000 0.5000 0.0000

ii.
Here is a relaxed HfBeTe2N crystal from Alexandria via LeMat-Bulk. Energies are from GGA-PBE.

a = 5.6900 Å, b = 5.6900 Å, c = 3.9636 Å
α = 90.00°, β = 90.00°, γ = 90.00°
Positions (direct):
Hf 0.0000 0.0000 0.0000
Be 0.5000 0.5000 0.5000
Te 0.0000 0.5000 0.0000
Te 0.5000 0.0000 0.0000
N 0.0000 0.0000 0.5000

i is preferred energetically. Next in line: 255 meV per atom higher.

i.
Here is a relaxed Na3HfBe crystal from Alexandria via LeMat-Bulk. Energies are from GGA-PBE.

a = 6.1465 Å, b = 6.1465 Å, c = 6.1465 Å
α = 90.00°, β = 90.00°, γ = 90.00°
Positions (direct):
Na 0.0000 0.0000 0.5000
Na 0.0000 0.5000 0.0000
Na 0.5000 0.0000 0.0000
Hf 0.0000 0.0000 0.0000
Be 0.5000 0.5000 0.5000

ii.
Here is a relaxed Na3HfBe crystal from Alexandria via LeMat-Bulk. Energies are from GGA-PBE.

a = 5.1405 Å, b = 5.1405 Å, c = 5.1405 Å
α = 90.00°, β = 90.00°, γ = 90.00°
Positions (direct):
Na 0.0000 0.0000 0.5000
Na 0.0000 0.5000 0.0000
Na 0.5000 0.0000 0.0000
Hf 0.5000 0.5000 0.5000
Be 0.0000 0.0000 0.0000

ii is preferred energetically. Next in line: 572 meV per atom higher.

i.
Here is a relaxed Hf3BeNb crystal from Alexandria via LeMat-Bulk. Energies are from GGA-PBE.

a = 5.0253 Å, b = 5.0253 Å, c = 5.0253 Å
α = 90.00°, β = 90.00°, γ = 90.00°
Positions (direct):
Hf 0.0000 0.0000 0.5000
Hf 0.0000 0.5000 0.0000
Hf 0.5000 0.0000 0.0000
Be 0.5000 0.5000 0.5000
Nb 0.0000 0.0000 0.0000

ii.
Here is a relaxed Hf3BeNb crystal from Alexandria via LeMat-Bulk. Energies are from GGA-PBE.

a = 4.6583 Å, b = 4.6583 Å, c = 4.6583 Å
α = 90.00°, β = 90.00°, γ = 90.00°
Positions (direct):
Hf 0.0000 0.0000 0.5000
Hf 0.0000 0.5000 0.0000
Hf 0.5000 0.0000 0.0000
Be 0.0000 0.0000 0.0000
Nb 0.5000 0.5000 0.5000

ii is preferred energetically. Next in line: 866 meV per atom higher.

i.
Here is a relaxed HfBeNi crystal from Alexandria via LeMat-Bulk. Energies are from GGA-PBE.

a = 11.2602 Å, b = 3.3852 Å, c = 6.2875 Å
α = 90.00°, β = 90.00°, γ = 90.00°
Positions (direct):
Hf 0.0395 0.0000 0.2464
Hf 0.2500 0.0000 0.6425
Hf 0.4605 0.0000 0.2464
Hf 0.5395 0.0000 0.7536
Hf 0.7500 0.0000 0.3575
Hf 0.9605 0.0000 0.7536
Be 0.0917 0.5000 0.5467
Be 0.2500 0.0000 0.0620
Be 0.4083 0.5000 0.5467
Be 0.5917 0.5000 0.4533
Be 0.7500 0.0000 0.9380
Be 0.9083 0.5000 0.4533
Ni 0.1320 0.5000 0.9253
Ni 0.2500 0.5000 0.2914
Ni 0.3680 0.5000 0.9253
Ni 0.6320 0.5000 0.0747
Ni 0.7500 0.5000 0.7086
Ni 0.8680 0.5000 0.0747

ii.
Here is a relaxed HfBeNi crystal from Alexandria via LeMat-Bulk. Energies are from GGA-PBE.

a = 5.0703 Å, b = 5.0703 Å, c = 5.0703 Å
α = 146.16°, β = 146.16°, γ = 48.61°
Positions (direct):
Hf 0.0000 0.0000 0.0000
Be 0.3008 0.3008 0.0000
Ni 0.6974 0.6974 0.0000

iii.
Here is a relaxed HfBeNi crystal from Alexandria via LeMat-Bulk. Energies are from GGA-PBE.

a = 7.2005 Å, b = 7.2005 Å, c = 7.2005 Å
α = 122.62°, β = 81.16°, γ = 127.92°
Positions (direct):
Hf 0.0000 0.2500 0.2500
Hf 0.0000 0.7500 0.7500
Hf 0.4153 0.3734 0.5418
Hf 0.4149 0.8725 0.0424
Hf 0.8301 0.3725 0.9576
Hf 0.8316 0.8734 0.4582
Be 0.0816 0.4152 0.6668
Be 0.0816 0.9148 0.1664
Be 0.4146 0.1651 0.7495
Be 0.4156 0.6651 0.2505
Be 0.7484 0.4148 0.3332
Be 0.7484 0.9152 0.8336
Ni 0.1738 0.2948 0.8797
Ni 0.1738 0.7941 0.3790
Ni 0.4151 0.2941 0.1203
Ni 0.4151 0.7948 0.6210
Ni 0.6564 0.1564 0.5000
Ni 0.6564 0.6564 0.0000

iv.
Here is a relaxed HfBeNi crystal from Alexandria via LeMat-Bulk. Energies are from GGA-PBE.

a = 5.9215 Å, b = 5.9215 Å, c = 4.3071 Å
α = 90.00°, β = 90.00°, γ = 147.33°
Positions (direct):
Hf 0.0909 0.9091 0.7500
Hf 0.9091 0.0909 0.2500
Be 0.3948 0.6052 0.7500
Be 0.6052 0.3948 0.2500
Ni 0.2319 0.7681 0.2500
Ni 0.7681 0.2319 0.7500

iii is preferred energetically. Next in line: 11 meV per atom higher.

i.
Here is a relaxed HfBe3O crystal from Alexandria via LeMat-Bulk. Energies are from GGA-PBE.

a = 3.8200 Å, b = 3.8200 Å, c = 3.8200 Å
α = 90.00°, β = 90.00°, γ = 90.00°
Positions (direct):
Hf 0.0000 0.0000 0.0000
Be 0.0000 0.5000 0.5000
Be 0.5000 0.0000 0.5000
Be 0.5000 0.5000 0.0000
O 0.5000 0.5000 0.5000

ii.
Here is a relaxed HfBe3O crystal from Alexandria via LeMat-Bulk. Energies are from GGA-PBE.

a = 4.8384 Å, b = 4.8384 Å, c = 4.8384 Å
α = 90.00°, β = 90.00°, γ = 90.00°
Positions (direct):
Hf 0.0000 0.0000 0.0000
Be 0.0000 0.0000 0.5000
Be 0.0000 0.5000 0.0000
Be 0.5000 0.0000 0.0000
O 0.5000 0.5000 0.5000

i is preferred energetically. Next in line: 2293 meV per atom higher.

i.
Here is a relaxed Hf2BeO crystal from Alexandria via LeMat-Bulk. Energies are from GGA-PBE.

a = 4.3079 Å, b = 4.3079 Å, c = 4.3079 Å
α = 60.00°, β = 60.00°, γ = 60.00°
Positions (direct):
Hf 0.2500 0.2500 0.2500
Hf 0.7500 0.7500 0.7500
Be 0.0000 0.0000 0.0000
O 0.5000 0.5000 0.5000

ii.
Here is a relaxed Hf2BeO crystal from Alexandria via LeMat-Bulk. Energies are from GGA-PBE.

a = 6.4511 Å, b = 6.4511 Å, c = 6.4511 Å
α = 133.59°, β = 133.59°, γ = 67.72°
Positions (direct):
Hf 0.0685 0.6250 0.9435
Hf 0.3750 0.3185 0.4435
Hf 0.6815 0.1250 0.0565
Hf 0.8750 0.9315 0.5565
Be 0.2500 0.7500 0.5000
Be 0.5000 0.5000 0.0000
O 0.0000 0.0000 0.0000
O 0.7500 0.2500 0.5000

iii.
Here is a relaxed Hf2BeO crystal from Alexandria via LeMat-Bulk. Energies are from GGA-PBE.

a = 8.6395 Å, b = 8.6395 Å, c = 8.6395 Å
α = 19.68°, β = 19.68°, γ = 19.68°
Positions (direct):
Hf 0.1050 0.1050 0.1050
Hf 0.8950 0.8950 0.8950
Be 0.0000 0.0000 0.0000
O 0.5000 0.5000 0.5000

ii is preferred energetically. Next in line: 318 meV per atom higher.

i.
Here is a relaxed HfBeP2O crystal from Alexandria via LeMat-Bulk. Energies are from GGA-PBE.

a = 4.9595 Å, b = 4.9595 Å, c = 2.8804 Å
α = 90.00°, β = 90.00°, γ = 90.00°
Positions (direct):
Hf 0.0000 0.0000 0.0000
Be 0.5000 0.5000 0.5000
P 0.0000 0.5000 0.5000
P 0.5000 0.0000 0.5000
O 0.5000 0.5000 0.0000

ii.
Here is a relaxed HfBeP2O crystal from Alexandria via LeMat-Bulk. Energies are from GGA-PBE.

a = 5.1257 Å, b = 5.1257 Å, c = 3.8902 Å
α = 90.00°, β = 90.00°, γ = 90.00°
Positions (direct):
Hf 0.0000 0.0000 0.0000
Be 0.5000 0.5000 0.5000
P 0.0000 0.5000 0.0000
P 0.5000 0.0000 0.0000
O 0.0000 0.0000 0.5000

i is preferred energetically. Next in line: 526 meV per atom higher.